Below is a geometry-optimized Ba2SrB18 structure, with properties calculated at the PBE level.

Geometry as POSCAR:
```
Ba2SrB18
1.0
4.2531 0.0000 0.0000
0.0000 4.2531 0.0000
0.0000 0.0000 12.7578
Ba Sr B
2 1 18
Direct
0.0000 0.0000 0.1678
0.0000 0.0000 0.8322
0.0000 0.0000 0.5000
0.2043 0.5000 0.3359
0.2043 0.5000 0.6641
0.2047 0.5000 0.0000
0.5000 0.2043 0.3359
0.5000 0.2043 0.6641
0.5000 0.2047 0.0000
0.5000 0.5000 0.0989
0.5000 0.5000 0.2367
0.5000 0.5000 0.4333
0.5000 0.5000 0.5667
0.5000 0.5000 0.7633
0.5000 0.5000 0.9011
0.5000 0.7953 0.0000
0.5000 0.7957 0.3359
0.5000 0.7957 0.6641
0.7953 0.5000 0.0000
0.7957 0.5000 0.3359
0.7957 0.5000 0.6641
```

Symmetry   P4/mmm (123)
Energy of formation   -422 meV/atom